Below is a PBEsol-optimized structure of ErIn2Pd, with properties calculated at the meta-GGA SCAN level.

a b c (Å): 9.0246 10.5915 10.5915
angles (deg): 79.54 64.78 64.78
Sites, in units of the cell vectors:
In 0.0959 0.2594 0.0000
Er 0.6707 0.7202 0.7202
Er 0.3909 0.2798 0.7202
In 0.8817 0.8371 0.8371
Er 0.0783 0.5962 0.0000
Pd 0.8120 0.2133 0.2133
In 0.2467 0.6175 0.6175
In 0.3552 0.0000 0.7406
In 0.7189 0.1629 0.8371
Pd 0.0254 0.7867 0.2133
Er 0.6745 0.0000 0.4038
In 0.0959 0.0000 0.2594
In 0.2696 0.2070 0.5084
Er 0.4636 0.0000 0.0000
In 0.4817 0.3825 0.3825
In 0.5560 0.1629 0.1629
Pd 0.3708 0.0000 0.3222
In 0.4766 0.7930 0.5084
In 0.3552 0.7406 0.0000
In 0.7780 0.4916 0.2070
In 0.9850 0.4916 0.7930
Er 0.6745 0.4038 0.0000
Pd 0.6929 0.0000 0.6778
In 0.8642 0.3825 0.6175
Pd 0.6929 0.6778 0.0000
In 0.9850 0.7930 0.4916
Er 0.0783 0.0000 0.5962
Pd 0.2387 0.7867 0.7867
Er 0.9897 0.0000 0.0000
In 0.4766 0.5084 0.7930
Pd 0.1144 0.5000 0.5000
Er 0.1111 0.2798 0.2798
Pd 0.3708 0.3222 0.0000
Pd 0.0254 0.2133 0.7867
In 0.7780 0.2070 0.4916
In 0.7189 0.8371 0.1629
In 0.8642 0.6175 0.3825
In 0.2696 0.5084 0.2070
Er 0.3909 0.7202 0.2798
Pd 0.6144 0.5000 0.5000

crystal system: tetragonal
volume: 20.7 Å³ per atom
total magnetic moment: 0.00 Bohr magnetons per cell
N(E_F): 1.4 states/eV/f.u.
DFT total energy: -152.964 eV/f.u.
DFT formation energy: -0.769 eV/atom


Below is a PBEsol-optimized structure of AlRe2Hg, with properties calculated at the meta-GGA SCAN level.

a b c (Å): 3.2349 3.2349 6.1300
angles (deg): 90.00 90.00 90.00
Sites, in units of the cell vectors:
Hg 0.5000 0.5000 0.5000
Re 0.0000 0.0000 0.1984
Al 0.5000 0.5000 0.0000
Re 0.0000 0.0000 0.8016

crystal system: tetragonal
volume: 16.0 Å³ per atom
total magnetic moment: 0.00 Bohr magnetons per cell
N(E_F): 2.3 states/eV/f.u.
DFT total energy: -216.125 eV/f.u.
energy above the most stable polymorph in this dataset: 9.3 kJ/mol of atoms
DFT formation energy: 0.497 eV/atom


Below is a PBEsol-optimized structure of Zn13Ag, with properties calculated at the meta-GGA SCAN level.

a b c (Å): 8.4512 8.4512 8.4512
angles (deg): 60.00 60.00 60.00
Sites, in units of the cell vectors:
Ag 0.7500 0.7500 0.7500
Zn 0.0618 0.9382 0.6989
Zn 0.9382 0.6989 0.0618
Ag 0.2500 0.2500 0.2500
Zn 0.6989 0.3011 0.0618
Zn 0.5618 0.4382 0.8011
Zn 0.8011 0.5618 0.4382
Zn 0.1989 0.5618 0.8011
Zn 0.3011 0.9382 0.0618
Zn 0.4382 0.8011 0.5618
Zn 0.4382 0.1989 0.8011
Zn 0.0000 0.0000 0.0000
Zn 0.1989 0.4382 0.5618
Zn 0.8011 0.1989 0.5618
Zn 0.1989 0.8011 0.4382
Zn 0.6989 0.9382 0.3011
Zn 0.0618 0.6989 0.3011
Zn 0.5000 0.5000 0.5000
Zn 0.8011 0.4382 0.1989
Zn 0.0618 0.3011 0.9382
Zn 0.9382 0.0618 0.3011
Zn 0.3011 0.0618 0.6989
Zn 0.5618 0.1989 0.4382
Zn 0.6989 0.0618 0.9382
Zn 0.3011 0.6989 0.9382
Zn 0.4382 0.5618 0.1989
Zn 0.9382 0.3011 0.6989
Zn 0.5618 0.8011 0.1989

crystal system: cubic
volume: 15.2 Å³ per atom
total magnetic moment: 0.00 Bohr magnetons per cell
N(E_F): 1.5 states/eV/f.u.
DFT total energy: -206.334 eV/f.u.
DFT formation energy: 0.052 eV/atom


Below is a PBEsol-optimized structure of Mn5Ir3, with properties calculated at the meta-GGA SCAN level.

a b c (Å): 3.6593 5.1497 5.1497
angles (deg): 90.94 90.00 90.00
Last column: magnetic moment on the atom in μB.
Sites, in units of the cell vectors:
Mn 0.0000 0.5000 0.0000  2.20
Mn 0.0000 0.0000 0.5000  2.20
Mn 0.5000 0.2482 0.2482  2.20
Mn 0.0000 0.0000 0.0000  -3.26
Mn 0.5000 0.7518 0.7518  2.20
Ir 0.5000 0.7572 0.2428  -0.14
Ir 0.0000 0.5000 0.5000  -0.36
Ir 0.5000 0.2428 0.7572  -0.14

crystal system: orthorhombic
volume: 12.1 Å³ per atom
total magnetic moment: 4.96 Bohr magnetons per cell
N(E_F): 8.2 states/eV/f.u.
DFT total energy: -307.273 eV/f.u.
DFT formation energy: -0.337 eV/atom


Below is a PBEsol-optimized structure of CrReW2, with properties calculated at the meta-GGA SCAN level.

a b c (Å): 2.6794 5.0675 5.0675
angles (deg): 116.74 100.20 100.20
Sites, in units of the cell vectors:
Re 0.5000 0.5000 0.5000
W 0.0000 0.0000 0.5000
Cr 0.5000 0.0000 0.0000
W 0.0000 0.5000 0.0000

crystal system: monoclinic
volume: 14.5 Å³ per atom
total magnetic moment: 0.00 Bohr magnetons per cell
N(E_F): 3.0 states/eV/f.u.
DFT total energy: -228.644 eV/f.u.
energy above the most stable polymorph in this dataset: 5.8 kJ/mol of atoms
DFT formation energy: 0.054 eV/atom


Below is a PBEsol-optimized structure of TiTe2Ru, with properties calculated at the meta-GGA SCAN level.

a b c (Å): 4.6855 4.6855 4.6855
angles (deg): 60.00 60.00 60.00
Sites, in units of the cell vectors:
Ru 0.5000 0.5000 0.5000
Te 0.7500 0.7500 0.7500
Te 0.2500 0.2500 0.2500
Ti 0.0000 0.0000 0.0000

crystal system: cubic
volume: 18.2 Å³ per atom
total magnetic moment: 0.01 Bohr magnetons per cell
N(E_F): 4.4 states/eV/f.u.
uncorrected formation energy: -49.1 meV/atom
DFT total energy: -125.555 eV/f.u.
energy above the most stable polymorph in this dataset: 0.0 kJ/mol of atoms


Below is a PBEsol-optimized structure of Na2CaMo, with properties calculated at the meta-GGA SCAN level.

a b c (Å): 6.2092 6.8935 6.8935
angles (deg): 78.30 63.23 63.23
Last column: magnetic moment on the atom in μB.
Sites, in units of the cell vectors:
Na 0.1000 0.0250 0.5250  -0.01
Na 0.8750 0.4750 0.0250  -0.01
Na 0.3750 0.5250 0.9750  -0.01
Mo 0.7500 0.5000 0.5000  3.79
Mo 0.0000 0.0000 0.0000  3.79
Ca 0.5000 0.0000 0.0000  0.00
Ca 0.2500 0.5000 0.5000  0.00
Na 0.6500 0.9750 0.4750  -0.01

crystal system: tetragonal
volume: 29.4 Å³ per atom
total magnetic moment: 8.56 Bohr magnetons per cell
N(E_F): 2.5 states/eV/f.u.
DFT total energy: -48.688 eV/f.u.
DFT formation energy: 1.073 eV/atom


Below is a PBEsol-optimized structure of SmBO3, with properties calculated at the meta-GGA SCAN level.

a b c (Å): 3.9458 3.9458 8.7118
angles (deg): 90.00 90.00 114.03
Sites, in units of the cell vectors:
O 0.8636 0.9898 0.7500
O 0.3271 0.6669 0.8940
O 0.9898 0.8636 0.2500
Sm 0.0570 0.0570 0.5000
B 0.4923 0.7631 0.7500
O 0.6669 0.3271 0.3940
Sm 0.0570 0.0570 0.0000
O 0.3271 0.6669 0.6060
O 0.6669 0.3271 0.1060
B 0.7631 0.4923 0.2500

crystal system: orthorhombic
volume: 12.4 Å³ per atom
total magnetic moment: 0.00 Bohr magnetons per cell
N(E_F): 0.0 states/eV/f.u.
uncorrected formation energy: -3290.8 meV/atom
DFT total energy: -87.019 eV/f.u.


Below is a PBEsol-optimized structure of N, with properties calculated at the meta-GGA SCAN level.

a b c (Å): 2.1686 2.1686 2.1686
angles (deg): 60.00 60.00 60.00
Sites, in units of the cell vectors:
N 0.0000 0.0000 0.0000

crystal system: cubic
volume: 7.2 Å³ per atom
total magnetic moment: 0.00 Bohr magnetons per cell
N(E_F): 0.6 states/eV/f.u.
uncorrected formation energy: 4685.2 meV/atom
DFT total energy: -4.606 eV/f.u.
energy above the most stable polymorph in this dataset: 452.1 kJ/mol of atoms


Below is a PBEsol-optimized structure of YBeW, with properties calculated at the meta-GGA SCAN level.

a b c (Å): 4.2460 4.2460 4.2460
angles (deg): 60.00 60.00 60.00
Sites, in units of the cell vectors:
Y 0.5000 0.5000 0.5000
W 0.0000 0.0000 0.0000
Be 0.2500 0.2500 0.2500

crystal system: cubic
volume: 18.0 Å³ per atom
total magnetic moment: 0.00 Bohr magnetons per cell
N(E_F): 2.4 states/eV/f.u.
DFT total energy: -99.163 eV/f.u.
energy above the most stable polymorph in this dataset: 47.9 kJ/mol of atoms
DFT formation energy: 0.907 eV/atom


Below is a PBEsol-optimized structure of BaAgP, with properties calculated at the meta-GGA SCAN level.

a b c (Å): 4.4242 4.4242 5.2924
angles (deg): 114.71 114.71 90.00
Sites, in units of the cell vectors:
Ba 0.3339 0.3339 0.6677
P 0.6915 0.6915 0.3831
Ag 0.9746 0.9746 0.9492

crystal system: tetragonal
volume: 27.9 Å³ per atom
total magnetic moment: 0.00 Bohr magnetons per cell
N(E_F): 0.5 states/eV/f.u.
DFT total energy: -82.222 eV/f.u.
DFT formation energy: -0.302 eV/atom


Below is a PBEsol-optimized structure of KSiBSb2, with properties calculated at the meta-GGA SCAN level.

a b c (Å): 3.6956 5.6209 5.6209
angles (deg): 90.00 90.00 90.00
Sites, in units of the cell vectors:
Sb 0.0000 0.5000 0.0000
K 0.5000 0.5000 0.5000
Si 0.5000 0.0000 0.0000
Sb 0.0000 0.0000 0.5000
B 0.0000 0.0000 0.0000

crystal system: tetragonal
volume: 23.4 Å³ per atom
total magnetic moment: 0.00 Bohr magnetons per cell
N(E_F): 2.9 states/eV/f.u.
uncorrected formation energy: 615.0 meV/atom
DFT total energy: -97.220 eV/f.u.


- Among the records above, which one has the lowest volume?
  N


- Among the records above, which one has the lowest N(E_F)?
  SmBO3